# 1
Here is an optimized crystal structure of Ce2NdReC4 from the Alexandria database. Energies are from GGA-PBE.

a = 3.5743 Å, b = 6.3338 Å, c = 12.5940 Å
α = 90.00°, β = 90.00°, γ = 106.39°
Element x y z (fractional)
Nd (0.1003, 0.2006, 0.7500)
Nd (0.8997, 0.7994, 0.2500)
C (0.2619, 0.5238, 0.1315)
C (0.4175, 0.8349, 0.7500)
C (0.5825, 0.1651, 0.2500)
C (0.7381, 0.4762, 0.6315)
C (0.7381, 0.4762, 0.8685)
C (0.0000, 0.0000, 0.5000)
C (0.2619, 0.5238, 0.3685)
C (0.0000, 0.0000, 0.0000)
Ce (0.6306, 0.2612, 0.0395)
Ce (0.3694, 0.7388, 0.9605)
Ce (0.3694, 0.7388, 0.5395)
Ce (0.6306, 0.2612, 0.4605)
Re (0.8359, 0.6718, 0.7500)
Re (0.1641, 0.3282, 0.2500)

Results
formation energy from the elements = -0.019 eV/atom
space-group type = Cmcm

# 2
Here is an optimized crystal structure of AcPm3Mg2 from the Alexandria database. Energies are from GGA-PBE.

a = 3.8636 Å, b = 3.8636 Å, c = 13.0071 Å
α = 90.00°, β = 90.00°, γ = 90.00°
Element x y z (fractional)
Mg (0.5000, 0.5000, 0.8523)
Mg (0.5000, 0.5000, 0.1477)
Ac (0.5000, 0.5000, 0.5000)
Pm (0.0000, 0.0000, 0.0000)
Pm (0.0000, 0.0000, 0.7041)
Pm (0.0000, 0.0000, 0.2959)

Results
formation energy from the elements = -0.060 eV/atom
space-group type = P4/mmm

# 3
Here is an optimized crystal structure of TlSbS2 from the Alexandria database. Energies are from GGA-PBE.

a = 6.3949 Å, b = 6.4087 Å, c = 6.9851 Å
α = 117.97°, β = 104.90°, γ = 93.01°
Element x y z (fractional)
Tl (0.1513, 0.3619, 0.7291)
Tl (0.8487, 0.6381, 0.2709)
S (0.7754, 0.0854, 0.1832)
S (0.6679, 0.2809, 0.7453)
S (0.2246, 0.9146, 0.8168)
S (0.3321, 0.7191, 0.2547)
Sb (0.4171, 0.1014, 0.2642)
Sb (0.5829, 0.8986, 0.7358)

Results
raw formation energy = -0.3296 eV per atom
space-group type = P-1

# 4
Here is an optimized crystal structure of Pm2Nd3Y3 from the Alexandria database. Energies are from GGA-PBE.

a = 5.6543 Å, b = 6.6503 Å, c = 16.2167 Å
α = 90.00°, β = 90.00°, γ = 115.21°
Element x y z (fractional)
Y (0.4634, 0.9261, 0.2500)
Y (0.6209, 0.2432, 0.0493)
Y (0.3791, 0.7568, 0.9507)
Y (0.5366, 0.0739, 0.7500)
Y (0.3791, 0.7568, 0.5493)
Y (0.6209, 0.2432, 0.4507)
Nd (0.0744, 0.1491, 0.9057)
Nd (0.7377, 0.4773, 0.2500)
Nd (0.2623, 0.5227, 0.7500)
Nd (0.9256, 0.8509, 0.0943)
Nd (0.9256, 0.8509, 0.4057)
Nd (0.0744, 0.1491, 0.5943)
Pm (0.2203, 0.4423, 0.3698)
Pm (0.7797, 0.5577, 0.8698)
Pm (0.2203, 0.4423, 0.1302)
Pm (0.7797, 0.5577, 0.6302)

Results
ΔE to the lowest computed polymorph = 37 meV/atom
formation energy from the elements = 0.122 eV/atom
space-group type = P2_1/m

# 5
Here is an optimized crystal structure of GaCo6H3 from the Alexandria database. Energies are from GGA-PBE.

a = 4.9985 Å, b = 4.9985 Å, c = 5.0484 Å
α = 90.00°, β = 119.67°, γ = 120.00°
Element x y z (fractional)
H (0.3028, 0.1514, 0.4542)
H (0.3122, 0.6561, 0.9683)
H (0.6552, 0.3276, 0.9828)
Co (0.4282, 0.4130, 0.2293)
Co (0.2890, 0.9105, 0.7270)
Co (0.2140, 0.8011, 0.2292)
Co (0.8165, 0.3785, 0.7270)
Co (0.3485, 0.4380, 0.7270)
Co (0.8162, 0.0152, 0.2292)
Ga (0.8173, 0.9086, 0.7259)

Results
space-group type = R3

# 6
Here is an optimized crystal structure of CuSi3Sb from the Alexandria database. Energies are from GGA-PBE.

a = 4.5958 Å, b = 4.5958 Å, c = 4.5958 Å
α = 90.00°, β = 90.00°, γ = 90.00°
Element x y z (fractional)
Sb (0.5000, 0.5000, 0.5000)
Si (0.0000, 0.0000, 0.5000)
Si (0.5000, 0.0000, 0.0000)
Si (0.0000, 0.5000, 0.0000)
Cu (0.0000, 0.0000, 0.0000)

Results
ΔE to the lowest computed polymorph = 0 meV/atom
raw formation energy = 0.6488 eV per atom
space-group type = Pm-3m

Results for VASP energy: -132.26; -21.91; -32.12; -84.44; -54.55; -21.24 (in eV/cell, following the order of the records).